Pm5Pr3Ho | PBE-GGA | relaxed

Cell: 7.0602 7.0602 13.9971 Å, 92.81 92.81 72.00°
Atoms (fractional coordinates):
Pm 0.0089 0.0089 0.2557
Pm 0.0526 0.4866 0.3316
Pm 0.1747 0.8253 0.0000
Pm 0.2445 0.2445 0.8787
Pm 0.4866 0.0526 0.3316
Pm 0.5134 0.9474 0.6684
Pm 0.7555 0.7555 0.1213
Pm 0.8253 0.1747 0.0000
Pm 0.9474 0.5134 0.6684
Pm 0.9911 0.9911 0.7443
Pr 0.1412 0.1412 0.5077
Pr 0.2630 0.2630 0.1167
Pr 0.5000 0.5000 0.0000
Pr 0.5000 0.5000 0.5000
Pr 0.7370 0.7370 0.8833
Pr 0.8588 0.8588 0.4923
Ho 0.4766 0.4766 0.7521
Ho 0.5234 0.5234 0.2479

Properties
The value obtained for the formation energy from the elements is 0.337 eV/atom. As for the symmetry: C2/m, No. 12.

---

Zr6HAu2 | PBE-GGA | relaxed

Cell: 5.9859 6.1501 11.3857 Å, 90.00 121.39 90.00°
Atoms (fractional coordinates):
Zr 0.0864 0.2200 0.4644
Zr 0.0864 0.2800 0.9644
Zr 0.3321 0.7005 0.4642
Zr 0.3321 0.7995 0.9642
Zr 0.4053 0.0181 0.2507
Zr 0.4053 0.4819 0.7507
Zr 0.5947 0.5181 0.2493
Zr 0.5947 0.9819 0.7493
Zr 0.6679 0.2005 0.0358
Zr 0.6679 0.2995 0.5358
Zr 0.9136 0.7200 0.0356
Zr 0.9136 0.7800 0.5356
H 0.5000 0.0000 0.5000
H 0.5000 0.5000 0.0000
Au 0.1285 0.1067 0.7482
Au 0.1285 0.3933 0.2482
Au 0.8715 0.6067 0.7518
Au 0.8715 0.8933 0.2518

Properties
As for the symmetry: P2_1/c, No. 14. For the total energy, the calculation gives -127.14 eV for the cell shown.

---

LiTbGe2Ir | PBE-GGA | relaxed

Cell: 4.1271 4.1271 10.4887 Å, 90.00 90.00 90.00°
Atoms (fractional coordinates):
Li 0.0000 0.0000 0.0000
Li 0.5000 0.5000 0.5000
Tb 0.0000 0.5000 0.2500
Tb 0.5000 0.0000 0.7500
Ge 0.0000 0.5000 0.6302
Ge 0.0000 0.5000 0.8698
Ge 0.5000 0.0000 0.1302
Ge 0.5000 0.0000 0.3698
Ir 0.0000 0.0000 0.5000
Ir 0.5000 0.5000 0.0000

Properties
The value obtained for the formation energy from the elements is -0.667 eV/atom. As for the symmetry: I-4m2, No. 119.

---

Ni2AgGe2 | PBE-GGA | relaxed

Cell: 7.0114 7.0114 2.9131 Å, 90.00 90.00 90.00°
Atoms (fractional coordinates):
Ni 0.1328 0.3672 0.0000
Ni 0.3672 0.8672 0.0000
Ni 0.6328 0.1328 0.0000
Ni 0.8672 0.6328 0.0000
Ag 0.0000 0.0000 0.0000
Ag 0.5000 0.5000 0.0000
Ge 0.1612 0.6612 0.5000
Ge 0.3388 0.1612 0.5000
Ge 0.6612 0.8388 0.5000
Ge 0.8388 0.3388 0.5000

Properties
The value obtained for the formation energy from the elements is -0.070 eV/atom. As for the symmetry: P4/mbm, No. 127. Its energy above the most stable polymorph in this dataset is 0 meV/atom.

---

Tb4TmMg7 | PBE-GGA | relaxed

Cell: 6.3758 6.3758 11.5455 Å, 112.42 112.42 52.59°
Atoms (fractional coordinates):
Tb 0.0668 0.0668 0.3292
Tb 0.3380 0.3380 0.2203
Tb 0.6620 0.6620 0.7797
Tb 0.9332 0.9332 0.6708
Tm 0.5000 0.5000 0.0000
Mg 0.0000 0.0000 0.0000
Mg 0.2026 0.2026 0.9226
Mg 0.2542 0.2542 0.6831
Mg 0.3737 0.3737 0.5032
Mg 0.6263 0.6263 0.4968
Mg 0.7458 0.7458 0.3169
Mg 0.7974 0.7974 0.0774

Properties
The value obtained for the formation energy from the elements is 0.152 eV/atom. As for the symmetry: C2/m, No. 12. Its energy above the most stable polymorph in this dataset is 179 meV/atom.

---

Er8ZnSn2 | PBE-GGA | relaxed

Cell: 9.8474 9.8474 6.6437 Å, 104.07 104.07 29.37°
Atoms (fractional coordinates):
Er 0.0196 0.0196 0.2791
Er 0.2151 0.2151 0.8172
Er 0.3487 0.3487 0.5018
Er 0.4081 0.4081 0.0296
Er 0.5919 0.5919 0.9704
Er 0.6513 0.6513 0.4982
Er 0.7849 0.7849 0.1828
Er 0.9804 0.9804 0.7209
Zn 0.5000 0.5000 0.5000
Sn 0.1817 0.1817 0.2577
Sn 0.8183 0.8183 0.7423

Properties
The value obtained for the formation energy from the elements is -0.308 eV/atom. As for the symmetry: C2/m, No. 12.

---

BaHgRh2 | PBE-GGA | relaxed

Cell: 3.5270 3.5270 7.5523 Å, 90.00 90.00 90.00°
Atoms (fractional coordinates):
Ba 0.0000 0.0000 0.0000
Hg 0.5000 0.5000 0.3326
Rh 0.0000 0.0000 0.5897
Rh 0.5000 0.5000 0.6973

Properties
The value obtained for the formation energy from the elements is 0.096 eV/atom. As for the symmetry: P4mm, No. 99.

---

Dy2Ho2Ag3 | PBE-GGA | relaxed

Cell: 5.0747 5.0778 8.7578 Å, 73.40 73.21 60.12°
Atoms (fractional coordinates):
Dy 0.1267 0.1275 0.1198
Dy 0.8733 0.8725 0.8802
Ho 0.3771 0.3774 0.3687
Ho 0.6229 0.6226 0.6313
Ag 0.0000 0.0000 0.5000
Ag 0.2502 0.2500 0.7492
Ag 0.7498 0.7500 0.2507

Properties
The value obtained for the formation energy from the elements is -0.164 eV/atom. As for the symmetry: P-1, No. 2.